# 1
DFT (GGA-PBE) results for crystalline RhAuO4 at its relaxed geometry.

Cell lengths 6.2979, 6.2979, 7.2474 Å; angles 90.00, 90.00, 90.00 degrees
Space group I4_1/amd (No. 141, origin choice 2)
Inequivalent atoms, fractional coordinates:
Rh1 0.0000 0.2500 0.3750 (multiplicity 4)
Au1 0.0000 0.2500 0.8750 (multiplicity 4)
O1 0.0000 0.0685 0.6411 (multiplicity 16)

* volume: 12.0 Å³/atom
* VASP energy: -120.21 eV/cell
* density: 8.41 g cm⁻³
* total moment: 0.00 μB per formula unit

***

# 2
DFT (GGA-PBE) results for crystalline Tm6Tl2Te3Pb at its relaxed geometry.

Cell lengths 19.4854, 4.3442, 8.7381 Å; angles 90.00, 111.73, 90.00 degrees
Space group C2/m (No. 12)
Inequivalent atoms, fractional coordinates:
Tm1 0.0103 0.0000 0.2505 (multiplicity 4)
Tm2 0.1614 0.5000 0.6338 (multiplicity 4)
Tm3 0.1702 0.5000 0.1369 (multiplicity 4)
Tl1 0.1863 0.0000 0.4042 (multiplicity 4)
Te1 0.0000 0.5000 0.5000 (multiplicity 2)
Te2 0.1629 0.0000 0.8768 (multiplicity 4)
Pb1 0.0000 0.5000 0.0000 (multiplicity 2)

* volume: 28.6 Å³/atom
* VASP energy: -108.01 eV/cell
* density: 9.73 g cm⁻³
* total moment: 0.00 μB per formula unit